MgSc2Hg | GGA-PBE | optimized geometry

uncorrected energy	-3.8351	eV/atom
theoretical density	5.74	g cm⁻³
total magnetization	0.00	μB/cell

```
data_MgSc2Hg
_chemical_formula_sum 'Mg1 Sc2 Hg1'
_cell_length_a 3.339
_cell_length_b 4.711
_cell_length_c 5.985
_cell_angle_alpha 90.00
_cell_angle_beta 104.72
_cell_angle_gamma 90.00
_space_group_name_H-M_alt 'P 1 m 1'
_space_group_IT_number 6
_space_group_name_Hall 'P -2y'
loop_
_atom_site_label
_atom_site_type_symbol
_atom_site_fract_x
_atom_site_fract_y
_atom_site_fract_z
Mg1 Mg 0.000 0.000 0.000
Sc1 Sc 0.271 0.000 0.524
Sc2 Sc 0.606 0.500 0.208
Hg1 Hg 0.870 0.500 0.719
```